First-principles (PBE) data for an optimized crystal structure of Ag2GePbBr6, as listed in Alexandria via LeMat-Bulk.

formation energy (no corrections): -563 meV per atom
total DFT energy (no corrections): -118.78 eV for the cell shown

Lattice parameters (Å, degrees): 13.1061 13.1104 7.6602 90.00 100.24 90.00
Closest atoms and distances in Å follow each position.
Space group C2/c (No. 15)
One atom of each set of equivalent atoms:
Ag (0.1249, 0.0875, 0.3029) [8 per cell]  3 Br 2.65-2.69
Ge (0.0000, 0.2414, 0.7500) [4 per cell]  4 Br 2.71-2.83
Pb (0.0000, 0.4145, 0.2500) [4 per cell]  6 Br 3.04-3.10
Br (0.1207, 0.2494, 0.0957) [8 per cell]  1 Ag 2.65, 1 Ge 2.83
Br (0.1261, 0.0971, 0.6510) [8 per cell]  2 Ag 2.67-2.69, 1 Ge 2.71
Br (0.1310, 0.4115, 0.6264) [8 per cell]  1 Ge 3.07, 2 Pb 3.08-3.10, 1 Ag 3.15